No. 1
Ce4ErTh5: relaxed, PBE.

Properties
Mass density in g/cm3: 9.6
Total magnetic moment in μB/f.u.: 2.20
D(E_F) in states/eV/atom: 2.577
Total DFT energy (no corrections) in eV per atom: -6.1360

abc: 6.703 11.467 8.495
angles: 90.00 90.00 90.00
Space group Pmmn (No. 59, origin choice 2)
Unique sites:
Ce 0.033 0.250 0.206 [4 per cell]
Ce 0.250 0.008 0.485 [4 per cell]
Er 0.250 0.750 0.432 [2 per cell]
Th 0.004 0.597 0.144 [8 per cell]
Th 0.250 0.250 0.577 [2 per cell]

---

No. 2
MgSnAu2: relaxed, PBE.

Properties
Mass density in g/cm3: 10.7
Total magnetic moment in μB/f.u.: 0.00
D(E_F) in states/eV/atom: 0.307
Total DFT energy (no corrections) in eV per atom: -3.3814

abc: 3.539 4.293 5.680
angles: 90.00 105.39 90.00
Space group Pm (No. 6)
Unique sites:
Mg 0.000 0.000 0.000 [1 per cell]
Sn 0.290 0.500 0.607 [1 per cell]
Au 0.545 0.500 0.112 [1 per cell]
Au 0.735 0.000 0.462 [1 per cell]

---

No. 3
BaPr3: relaxed, PBE.

Properties
Mass density in g/cm3: 5.8
Relative energy among the computed polymorphs in meV/atom: 11
Total magnetic moment in μB/f.u.: 0.00
D(E_F) in states/eV/atom: 1.715
Total DFT energy (no corrections) in eV per atom: -3.8990

abc: 5.433 5.433 10.835
angles: 90.00 90.00 90.00
Space group I4/mmm (No. 139)
Unique sites:
Ba 0.000 0.000 0.000 [2 per cell]
Pr 0.000 0.000 0.500 [2 per cell]
Pr 0.000 0.500 0.250 [4 per cell]

---

No. 4
CsKBaSr: relaxed, PBE.

Properties
Mass density in g/cm3: 2.2
Total magnetic moment in μB/f.u.: 0.00
D(E_F) in states/eV/atom: 1.302
Total DFT energy (no corrections) in eV per atom: -1.2219

abc: 10.547 10.547 10.547
angles: 90.00 90.00 90.00
Space group F-43m (No. 216)
Unique sites:
Cs 0.000 0.000 0.000 [4 per cell]
K 0.250 0.250 0.750 [4 per cell]
Ba 0.000 0.000 0.500 [4 per cell]
Sr 0.250 0.250 0.250 [4 per cell]

---

No. 5
SiP2RhAu: relaxed, PBE.

Properties
Mass density in g/cm3: 6.6
Formation energy without anion corrections in eV/atom: 0.609
Total magnetic moment in μB/f.u.: 0.00
D(E_F) in states/eV/atom: 0.590
Total DFT energy (no corrections) in eV per atom: -4.7650

abc: 4.573 4.573 4.671
angles: 90.00 90.00 90.00
Space group P4/mmm (No. 123)
Unique sites:
Si 0.000 0.000 0.000 [1 per cell]
P 0.000 0.500 0.500 [2 per cell]
Rh 0.000 0.000 0.500 [1 per cell]
Au 0.500 0.500 0.000 [1 per cell]

---

No. 6
TeI2N2: relaxed, PBE.

Properties
Mass density in g/cm3: 4.4
Relative energy among the computed polymorphs in meV/atom: 1786
Formation energy without anion corrections in eV/atom: 1.783
Total magnetic moment in μB/f.u.: 1.42
D(E_F) in states/eV/atom: 0.890
Total DFT energy (no corrections) in eV per atom: -2.7956

abc: 4.273 4.273 8.554
angles: 90.00 90.00 90.00
Space group P4/mmm (No. 123)
Unique sites:
Te 0.000 0.000 0.000 [1 per cell]
I 0.500 0.500 0.000 [1 per cell]
I 0.500 0.500 0.500 [1 per cell]
N 0.000 0.500 0.500 [2 per cell]

---

No. 7
CaTcBr2: relaxed, PBE.

Properties
Mass density in g/cm3: 3.6
Relative energy among the computed polymorphs in meV/atom: 80
Formation energy without anion corrections in eV/atom: -0.284
Total magnetic moment in μB/f.u.: 3.02
D(E_F) in states/eV/atom: 0.532
Total DFT energy (no corrections) in eV per atom: -4.2120

abc: 14.112 3.729 5.229
angles: 90.00 90.70 90.00
Space group C2/m (No. 12)
Unique sites:
Ca 0.000 0.000 0.000 [2 per cell]
Tc 0.000 0.500 0.500 [2 per cell]
Br 0.143 0.500 0.224 [4 per cell]

---

No. 8
Mn2InAu: relaxed, PBE.

Properties
Mass density in g/cm3: 9.6
Total magnetic moment in μB/f.u.: 7.71
D(E_F) in states/eV/atom: 0.751
Total DFT energy (no corrections) in eV per atom: -5.8254

abc: 3.1165 3.1165 26.0175
angles: 90.00 90.00 120.00
Space group R-3m (No. 166, hexagonal axes)
Unique sites:
Mn 0.0000 0.0000 0.2461 [6 per cell]
In 0.0000 0.0000 0.0000 [3 per cell]
Au 0.0000 0.0000 0.5000 [3 per cell]